Compound: CoCuIrS4
Source: Alexandria
Functional: PBE-GGA
Structure: optimized geometry

Properties
Mass density   6.416 g/cm³
Total moment   0.0000 μB/atom
Energy relative to the elements, uncorrected   -0.377 eV/atom
Fermi-level density of states   0.701 states/eV per atom
E_tot   -5.602 eV per atom
Calculated volume   459 Å³ per cell

```
data_CoCuIrS4
_cell_length_a 6.753
_cell_length_b 6.993
_cell_length_c 9.712
_cell_angle_alpha 90.00
_cell_angle_beta 90.00
_cell_angle_gamma 90.00
_space_group_name_H-M_alt 'I m m a'
_space_group_IT_number 74
_space_group_name_Hall '-I 2b 2'
loop_
_atom_site_label
_atom_site_type_symbol
_atom_site_fract_x
_atom_site_fract_y
_atom_site_fract_z
Co1 Co 0.250 0.250 0.250
Cu1 Cu 0.000 0.250 0.629
Ir1 Ir 0.000 0.000 0.000
S1 S 0.000 0.029 0.243
S2 S 0.234 0.250 0.016
```